LiErCoF6 | GGA+U | optimized geometry

Computed properties:
Space-group type = No. 102
Calculated density = 4.91 g/cm³
E_tot = -5.720 eV/atom
Total magnetization = 6.00 μB/cell

Cell: 4.910 4.910 9.742 Å, 90.00 90.00 90.00°
Fractional coordinates of all 18 atoms:
Co  0.000  0.000  0.333
Co  0.500  0.500  0.833
F  0.699  0.699  0.994
F  0.801  0.199  0.494
F  0.205  0.795  0.835
F  0.812  0.188  0.169
F  0.301  0.301  0.994
F  0.312  0.312  0.669
F  0.705  0.705  0.335
F  0.295  0.295  0.335
F  0.688  0.688  0.669
F  0.795  0.205  0.835
F  0.199  0.801  0.494
F  0.188  0.812  0.169
Li  0.000  0.000  0.004
Li  0.500  0.500  0.504
Er  0.000  0.000  0.667
Er  0.500  0.500  0.167